Material: LiMgAg2
Method: DFT, meta-GGA SCAN
State: PBEsol geometry

The space group is F-43m (No. 216) and the conventional cell measures 6.438, 6.438 and 6.438 Å, with angles of 90.00, 90.00 and 90.00 degrees. The inequivalent atoms are Li at (0.000, 0.000, 0.000), Mg at (0.250, 0.250, 0.250), Ag at (0.000, 0.000, 0.500) and Ag at (0.250, 0.250, 0.750).

As for the spin magnetization: 0.000 μB per formula unit. The total energy comes out at -283.75 eV per cell. As for the formation energy: -0.84 eV per formula unit.


Material: YScMo4
Method: DFT, meta-GGA SCAN
State: PBEsol geometry

The space group is F-43m (No. 216) and the conventional cell measures 7.609, 7.609 and 7.609 Å, with angles of 90.00, 90.00 and 90.00 degrees. The inequivalent atoms are Y at (0.000, 0.000, 0.000), Sc at (0.250, 0.250, 0.750) and Mo at (0.125, 0.125, 0.375).

As for the spin magnetization: 0.000 μB per formula unit. The total energy comes out at -724.88 eV per cell. As for the formation energy: 0.40 eV per formula unit.